VASP calculation (PBE) on a relaxed ErSnTe3Au crystal.

## Properties
Offset from the most stable computed form: 0.003 eV per atom

Cell lengths 7.6922, 7.6922, 11.0286 Å; angles 90.00, 90.00, 147.86 degrees
Last column: nearest neighbours and their distance in Å.
Positions (direct):
1 Er 0.0000 0.0000 0.0000  6 Te 3.10
2 Er 0.0000 0.0000 0.5000  6 Te 3.10
3 Sn 0.2222 0.7778 0.7500  6 Te 3.24-3.43, 2 Au 3.56
4 Sn 0.7778 0.2222 0.2500  6 Te 3.24-3.43, 2 Au 3.56
5 Te 0.0959 0.9041 0.2500  2 Au 2.83, 2 Er 3.10
6 Te 0.3524 0.6476 0.0524  1 Au 2.79, 2 Er 3.10
7 Te 0.3524 0.6476 0.4476  1 Au 2.79, 2 Er 3.10
8 Te 0.6476 0.3524 0.5524  1 Au 2.79, 2 Er 3.10
9 Te 0.6476 0.3524 0.9476  1 Au 2.79, 2 Er 3.10
10 Te 0.9041 0.0959 0.7500  2 Au 2.83, 2 Er 3.10
11 Au 0.4704 0.5296 0.2500  4 Te 2.79-2.83
12 Au 0.5296 0.4704 0.7500  4 Te 2.79-2.83


VASP calculation (PBE) on a relaxed ErSnTe3Au crystal.

## Properties
Offset from the most stable computed form: 0.000 eV per atom

Cell lengths 8.2711, 4.2927, 10.6140 Å; angles 90.00, 107.20, 90.00 degrees
Last column: nearest neighbours and their distance in Å.
Positions (direct):
1 Er 0.2069 0.2500 0.1803  6 Te 3.04-3.11, 2 Au 3.23
2 Er 0.7931 0.7500 0.8197  6 Te 3.04-3.11, 2 Au 3.23
3 Sn 0.2144 0.7500 0.7074  7 Te 3.19-3.41
4 Sn 0.7856 0.2500 0.2926  7 Te 3.19-3.41
5 Te 0.0778 0.2500 0.8737  3 Er 3.11, 2 Sn 3.19
6 Te 0.2040 0.2500 0.4687  3 Au 2.88-3.19, 1 Er 3.07
7 Te 0.4605 0.7500 0.1631  1 Au 2.74, 2 Er 3.04
8 Te 0.5395 0.2500 0.8369  1 Au 2.74, 2 Er 3.04
9 Te 0.7960 0.7500 0.5313  3 Au 2.88-3.19, 1 Er 3.07
10 Te 0.9222 0.7500 0.1263  3 Er 3.11, 2 Sn 3.19
11 Au 0.3955 0.7500 0.4020  3 Te 2.74-2.88
12 Au 0.6045 0.2500 0.5980  3 Te 2.74-2.88


VASP calculation (PBE) on a relaxed ErSnTe3Au crystal.

## Properties
Offset from the most stable computed form: 0.028 eV per atom

Cell lengths 10.0798, 10.0798, 8.7765 Å; angles 100.57, 100.57, 24.30 degrees
Last column: nearest neighbours and their distance in Å.
Positions (direct):
1 Er 0.1603 0.1603 0.0926  6 Te 3.06-3.14, 2 Au 3.30
2 Er 0.8397 0.8397 0.9074  6 Te 3.06-3.14, 2 Au 3.30
3 Sn 0.1240 0.1240 0.5761  6 Te 3.21-3.32
4 Sn 0.8760 0.8760 0.4239  6 Te 3.21-3.32
5 Te 0.0000 0.0000 0.0000  4 Au 2.90, 2 Er 3.11
6 Te 0.3101 0.3101 0.6487  1 Au 2.73
7 Te 0.3224 0.3224 0.1482  3 Er 3.06-3.14, 2 Sn 3.24
8 Te 0.5000 0.5000 0.5000  2 Au 2.90, 4 Sn 3.21
9 Te 0.6776 0.6776 0.8518  3 Er 3.06-3.14, 2 Sn 3.24
10 Te 0.6899 0.6899 0.3513  1 Au 2.73
11 Au 0.4464 0.4464 0.7862  4 Te 2.73-2.90
12 Au 0.5536 0.5536 0.2138  4 Te 2.73-2.90


VASP calculation (PBE) on a relaxed ErSnTe3Au crystal.

## Properties
Offset from the most stable computed form: 0.001 eV per atom

Cell lengths 14.4798, 4.2720, 11.4929 Å; angles 90.00, 90.00, 90.00 degrees
Last column: nearest neighbours and their distance in Å.
Positions (direct):
1 Er 0.0090 0.2500 0.1832  6 Te 3.01-3.11, 2 Au 3.34
2 Er 0.4910 0.7500 0.6832  6 Te 3.01-3.11, 2 Au 3.34
3 Er 0.5090 0.2500 0.3168  6 Te 3.01-3.11, 2 Au 3.34
4 Er 0.9910 0.7500 0.8168  6 Te 3.01-3.11, 2 Au 3.34
5 Sn 0.2250 0.2500 0.4446  6 Te 3.23-3.28
6 Sn 0.2750 0.7500 0.9446  6 Te 3.23-3.28
7 Sn 0.7250 0.2500 0.0554  6 Te 3.23-3.28
8 Sn 0.7750 0.7500 0.5554  6 Te 3.23-3.28
9 Te 0.1080 0.2500 0.9435  3 Er 3.09-3.11, 2 Sn 3.23
10 Te 0.1266 0.7500 0.6184  3 Au 2.91-2.98, 1 Er 3.01, 2 Sn 3.25
11 Te 0.1533 0.7500 0.2474  1 Au 2.78, 2 Er 3.08
12 Te 0.3467 0.2500 0.7474  1 Au 2.78, 2 Er 3.08
13 Te 0.3734 0.2500 0.1184  3 Au 2.91-2.98, 1 Er 3.01, 2 Sn 3.25
14 Te 0.3920 0.7500 0.4435  3 Er 3.09-3.11, 2 Sn 3.23
15 Te 0.6080 0.2500 0.5565  3 Er 3.09-3.11, 2 Sn 3.23
16 Te 0.6266 0.7500 0.8816  3 Au 2.91-2.98, 1 Er 3.01, 2 Sn 3.25
17 Te 0.6533 0.7500 0.2526  1 Au 2.78, 2 Er 3.08
18 Te 0.8467 0.2500 0.7526  1 Au 2.78, 2 Er 3.08
19 Te 0.8734 0.2500 0.3816  3 Au 2.91-2.98, 1 Er 3.01, 2 Sn 3.25
20 Te 0.8920 0.7500 0.0565  3 Er 3.09-3.11, 2 Sn 3.23
21 Au 0.0083 0.7500 0.4064  4 Te 2.78-2.98, 2 Au 3.04
22 Au 0.4917 0.2500 0.9064  4 Te 2.78-2.98, 2 Au 3.04
23 Au 0.5083 0.7500 0.0936  4 Te 2.78-2.98, 2 Au 3.04
24 Au 0.9917 0.2500 0.5936  4 Te 2.78-2.98, 2 Au 3.04


VASP calculation (PBE) on a relaxed ErSnTe3Au crystal.

## Properties
Offset from the most stable computed form: 0.029 eV per atom

Cell lengths 10.4182, 4.4162, 16.5864 Å; angles 90.00, 90.00, 90.00 degrees
Last column: nearest neighbours and their distance in Å.
Positions (direct):
1 Er 0.1963 0.2500 0.0346  5 Te 3.03-3.16, 2 Au 3.15
2 Er 0.3037 0.7500 0.5346  5 Te 3.03-3.16, 2 Au 3.15
3 Er 0.6963 0.2500 0.4654  5 Te 3.03-3.16, 2 Au 3.15
4 Er 0.8037 0.7500 0.9654  5 Te 3.03-3.16, 2 Au 3.15
5 Sn 0.1606 0.7500 0.2823  3 Te 3.02-3.03
6 Sn 0.3394 0.2500 0.7823  3 Te 3.02-3.03
7 Sn 0.6606 0.7500 0.2177  3 Te 3.02-3.03
8 Sn 0.8394 0.2500 0.7177  3 Te 3.02-3.03
9 Te 0.0270 0.7500 0.1198  2 Au 2.74, 1 Sn 3.03
10 Te 0.1365 0.2500 0.4661  1 Au 2.70
11 Te 0.1842 0.7500 0.7049  2 Sn 3.02, 1 Er 3.09
12 Te 0.3158 0.2500 0.2049  2 Sn 3.02, 1 Er 3.09
13 Te 0.3635 0.7500 0.9661  1 Au 2.70
14 Te 0.4730 0.2500 0.6198  2 Au 2.74, 1 Sn 3.03
15 Te 0.5270 0.7500 0.3802  2 Au 2.74, 1 Sn 3.03
16 Te 0.6365 0.2500 0.0339  1 Au 2.70
17 Te 0.6842 0.7500 0.7951  2 Sn 3.02, 1 Er 3.09
18 Te 0.8158 0.2500 0.2951  2 Sn 3.02, 1 Er 3.09
19 Te 0.8635 0.7500 0.5339  1 Au 2.70
20 Te 0.9730 0.2500 0.8802  2 Au 2.74, 1 Sn 3.03
21 Au 0.1217 0.7500 0.9079  3 Te 2.70-2.74
22 Au 0.3783 0.2500 0.4079  3 Te 2.70-2.74
23 Au 0.6217 0.7500 0.5921  3 Te 2.70-2.74
24 Au 0.8783 0.2500 0.0921  3 Te 2.70-2.74


VASP calculation (PBE) on a relaxed ErSnTe3Au crystal.

## Properties
Offset from the most stable computed form: 0.053 eV per atom

Cell lengths 12.8483, 4.3564, 12.6334 Å; angles 90.00, 90.00, 90.00 degrees
Last column: nearest neighbours and their distance in Å.
Positions (direct):
1 Er 0.0410 0.2500 0.1898  6 Te 3.02-3.30
2 Er 0.4590 0.7500 0.6898  6 Te 3.02-3.30
3 Er 0.5410 0.2500 0.3102  6 Te 3.02-3.30
4 Er 0.9590 0.7500 0.8102  6 Te 3.02-3.30
5 Sn 0.1996 0.2500 0.4678  2 Au 2.99
6 Sn 0.3004 0.7500 0.9678  2 Au 2.99
7 Sn 0.6996 0.2500 0.0322  2 Au 2.99
8 Sn 0.8004 0.7500 0.5322  2 Au 2.99
9 Te 0.0227 0.7500 0.3635  1 Au 2.77
10 Te 0.0880 0.2500 0.9334  1 Au 2.80
11 Te 0.2248 0.7500 0.6714  2 Au 2.84, 1 Er 3.02
12 Te 0.2752 0.2500 0.1714  2 Au 2.84, 1 Er 3.02
13 Te 0.4120 0.7500 0.4334  1 Au 2.80
14 Te 0.4773 0.2500 0.8635  1 Au 2.77
15 Te 0.5227 0.7500 0.1365  1 Au 2.77
16 Te 0.5880 0.2500 0.5666  1 Au 2.80
17 Te 0.7248 0.7500 0.8286  2 Au 2.84, 1 Er 3.02
18 Te 0.7752 0.2500 0.3286  2 Au 2.84, 1 Er 3.02
19 Te 0.9120 0.7500 0.0666  1 Au 2.80
20 Te 0.9773 0.2500 0.6365  1 Au 2.77
21 Au 0.2312 0.7500 0.3091  4 Te 2.77-2.84, 2 Sn 2.99
22 Au 0.2688 0.2500 0.8091  4 Te 2.77-2.84, 2 Sn 2.99
23 Au 0.7312 0.7500 0.1909  4 Te 2.77-2.84, 2 Sn 2.99
24 Au 0.7688 0.2500 0.6909  4 Te 2.77-2.84, 2 Sn 2.99


VASP calculation (PBE) on a relaxed ErSnTe3Au crystal.

## Properties
Offset from the most stable computed form: 0.021 eV per atom

Cell lengths 13.2991, 4.4502, 12.1797 Å; angles 90.00, 90.00, 90.00 degrees
Last column: nearest neighbours and their distance in Å.
Positions (direct):
1 Er 0.0179 0.2500 0.1940  6 Te 3.06-3.23, 2 Au 3.23
2 Er 0.4821 0.7500 0.6940  6 Te 3.06-3.23, 2 Au 3.23
3 Er 0.5179 0.2500 0.3060  6 Te 3.06-3.23, 2 Au 3.23
4 Er 0.9821 0.7500 0.8060  6 Te 3.06-3.23, 2 Au 3.23
5 Sn 0.2372 0.2500 0.4204  3 Te 3.08-3.14, 2 Au 3.30
6 Sn 0.2628 0.7500 0.9204  3 Te 3.08-3.14, 2 Au 3.30
7 Sn 0.7372 0.2500 0.0796  3 Te 3.08-3.14, 2 Au 3.30
8 Sn 0.7628 0.7500 0.5796  3 Te 3.08-3.14, 2 Au 3.30
9 Te 0.0329 0.7500 0.3657  1 Au 2.71
10 Te 0.0981 0.2500 0.9502  2 Sn 3.14, 3 Er 3.15-3.23
11 Te 0.1954 0.7500 0.6783  2 Au 2.75
12 Te 0.3046 0.2500 0.1783  2 Au 2.75
13 Te 0.4019 0.7500 0.4502  2 Sn 3.14, 3 Er 3.15-3.23
14 Te 0.4671 0.2500 0.8657  1 Au 2.71
15 Te 0.5329 0.7500 0.1343  1 Au 2.71
16 Te 0.5981 0.2500 0.5498  2 Sn 3.14, 3 Er 3.15-3.23
17 Te 0.6954 0.7500 0.8217  2 Au 2.75
18 Te 0.8046 0.2500 0.3217  2 Au 2.75
19 Te 0.9019 0.7500 0.0498  2 Sn 3.14, 3 Er 3.15-3.23
20 Te 0.9671 0.2500 0.6343  1 Au 2.71
21 Au 0.1917 0.7500 0.2263  3 Te 2.71-2.75
22 Au 0.3083 0.2500 0.7263  3 Te 2.71-2.75
23 Au 0.6917 0.7500 0.2737  3 Te 2.71-2.75
24 Au 0.8083 0.2500 0.7737  3 Te 2.71-2.75


VASP calculation (PBE) on a relaxed SrErAu crystal.

Cell lengths 7.0718, 7.0718, 7.0718 Å; angles 90.00, 90.00, 90.00 degrees
Last column: nearest neighbours and their distance in Å.
Positions (direct):
1 Sr 0.0000 0.0000 0.0000  4 Er 3.06
2 Sr 0.0000 0.5000 0.5000  4 Er 3.06
3 Sr 0.5000 0.0000 0.5000  4 Er 3.06
4 Sr 0.5000 0.5000 0.0000  4 Er 3.06
5 Er 0.2500 0.2500 0.7500  4 Sr 3.06, 4 Au 3.06
6 Er 0.2500 0.7500 0.2500  4 Sr 3.06, 4 Au 3.06
7 Er 0.7500 0.2500 0.2500  4 Sr 3.06, 4 Au 3.06
8 Er 0.7500 0.7500 0.7500  4 Sr 3.06, 4 Au 3.06
9 Au 0.0000 0.0000 0.5000  4 Er 3.06
10 Au 0.0000 0.5000 0.0000  4 Er 3.06
11 Au 0.5000 0.0000 0.0000  4 Er 3.06
12 Au 0.5000 0.5000 0.5000  4 Er 3.06


VASP calculation (PBE) on a relaxed ErTaAu crystal.

Cell lengths 6.6615, 6.6615, 6.6615 Å; angles 90.00, 90.00, 90.00 degrees
Last column: nearest neighbours and their distance in Å.
Positions (direct):
1 Er 0.0000 0.0000 0.0000  4 Ta 2.88, 4 Au 2.88
2 Er 0.0000 0.5000 0.5000  4 Ta 2.88, 4 Au 2.88
3 Er 0.5000 0.0000 0.5000  4 Ta 2.88, 4 Au 2.88
4 Er 0.5000 0.5000 0.0000  4 Ta 2.88, 4 Au 2.88
5 Ta 0.2500 0.2500 0.2500  4 Er 2.88
6 Ta 0.2500 0.7500 0.7500  4 Er 2.88
7 Ta 0.7500 0.2500 0.7500  4 Er 2.88
8 Ta 0.7500 0.7500 0.2500  4 Er 2.88
9 Au 0.2500 0.2500 0.7500  4 Er 2.88
10 Au 0.2500 0.7500 0.2500  4 Er 2.88
11 Au 0.7500 0.2500 0.2500  4 Er 2.88
12 Au 0.7500 0.7500 0.7500  4 Er 2.88


VASP calculation (PBE) on a relaxed TbErAu crystal.

## Properties
Offset from the most stable computed form: 0.192 eV per atom

Cell lengths 6.9665, 6.9665, 6.9665 Å; angles 90.00, 90.00, 90.00 degrees
Last column: nearest neighbours and their distance in Å.
Positions (direct):
1 Tb 0.0000 0.0000 0.0000  4 Au 3.02
2 Tb 0.0000 0.5000 0.5000  4 Au 3.02
3 Tb 0.5000 0.0000 0.5000  4 Au 3.02
4 Tb 0.5000 0.5000 0.0000  4 Au 3.02
5 Er 0.0000 0.0000 0.5000  4 Au 3.02
6 Er 0.0000 0.5000 0.0000  4 Au 3.02
7 Er 0.5000 0.0000 0.0000  4 Au 3.02
8 Er 0.5000 0.5000 0.5000  4 Au 3.02
9 Au 0.2500 0.2500 0.7500  4 Tb 3.02, 4 Er 3.02
10 Au 0.2500 0.7500 0.2500  4 Tb 3.02, 4 Er 3.02
11 Au 0.7500 0.2500 0.2500  4 Tb 3.02, 4 Er 3.02
12 Au 0.7500 0.7500 0.7500  4 Tb 3.02, 4 Er 3.02


VASP calculation (PBE) on a relaxed TbErAu crystal.

## Properties
Offset from the most stable computed form: 0.000 eV per atom

Cell lengths 7.1028, 4.9335, 8.8778 Å; angles 90.00, 90.00, 90.00 degrees
Last column: nearest neighbours and their distance in Å.
Positions (direct):
1 Tb 0.0132 0.2500 0.1767  3 Au 2.95-3.15
2 Tb 0.4868 0.7500 0.6767  3 Au 2.95-3.15
3 Tb 0.5132 0.2500 0.3233  3 Au 2.95-3.15
4 Tb 0.9868 0.7500 0.8233  3 Au 2.95-3.15
5 Er 0.1487 0.2500 0.5806  4 Au 2.87-3.03
6 Er 0.3513 0.7500 0.0806  4 Au 2.87-3.03
7 Er 0.6487 0.2500 0.9194  4 Au 2.87-3.03
8 Er 0.8513 0.7500 0.4194  4 Au 2.87-3.03
9 Au 0.2454 0.2500 0.9014  4 Er 2.87-3.03, 3 Tb 2.95-3.15
10 Au 0.2546 0.7500 0.4014  4 Er 2.87-3.03, 3 Tb 2.95-3.15
11 Au 0.7454 0.2500 0.5986  4 Er 2.87-3.03, 3 Tb 2.95-3.15
12 Au 0.7546 0.7500 0.0986  4 Er 2.87-3.03, 3 Tb 2.95-3.15


VASP calculation (PBE) on a relaxed Er7Te2Au2 crystal.

## Properties
Offset from the most stable computed form: 0.002 eV per atom

Cell lengths 9.3203, 9.3203, 9.3203 Å; angles 155.17, 67.95, 117.89 degrees
Last column: nearest neighbours and their distance in Å.
Positions (direct):
1 Er 0.0000 0.0000 0.0000  3 Te 3.22-3.26
2 Er 0.2868 0.4143 0.8726  2 Au 2.91, 3 Te 3.08-3.17
3 Er 0.3059 0.6229 0.6830  3 Au 2.88-3.16, 1 Te 3.13
4 Er 0.5417 0.4143 0.1274  2 Au 2.91, 3 Te 3.08-3.17
5 Er 0.6199 0.2606 0.3592  2 Au 2.95, 2 Te 3.11
6 Er 0.9014 0.2606 0.6408  2 Au 2.95, 2 Te 3.11
7 Er 0.9399 0.6229 0.3170  3 Au 2.88-3.16, 1 Te 3.13
8 Te 0.2624 0.7624 0.5000  8 Er 3.13-3.22
9 Te 0.6611 0.6611 0.0000  7 Er 3.08-3.26
10 Au 0.1615 0.9250 0.2365  7 Er 2.88-3.16
11 Au 0.6884 0.9250 0.7635  7 Er 2.88-3.16


| no. | uncorrected energy (eV per atom) | mass density (g cm⁻³) |
| --- | --- | --- |
| 1 | -4.185 | 8.3 |
| 2 | -4.188 | 8.0 |
| 3 | -4.159 | 8.0 |
| 4 | -4.186 | 8.1 |
| 5 | -4.159 | 7.5 |
| 6 | -4.135 | 8.1 |
| 7 | -4.166 | 8.0 |
| 8 | -3.019 | 8.5 |
| 9 | -5.558 | 12.2 |
| 10 | -4.607 | 10.3 |
| 11 | -4.800 | 11.2 |
| 12 | -4.895 | 10.1 |